Below is an optimized crystal structure of MnTlPt2, with properties calculated at the PBE-GGA level.

a b c (Å): 3.508 3.508 5.716
angles (deg): 90.00 90.00 90.00
Positions (direct):
Mn (0.000, 0.000, 0.000)
Tl (0.500, 0.500, 0.694)
Pt (0.000, 0.000, 0.461)
Pt (0.500, 0.500, 0.181)

Summary:
symmetry	No. 99
ΔH_f (0 K)	-5	meV/atom
uncorrected energy	-5.91	eV per atom
magnetization	4.09	μB per formula unit

---

Below is an optimized crystal structure of Tm3MnPt12, with properties calculated at the PBE-GGA level.

a b c (Å): 4.061 4.061 16.153
angles (deg): 90.00 90.00 90.00
Positions (direct):
Tm (0.000, 0.000, 0.000)
Tm (0.000, 0.000, 0.254)
Tm (0.000, 0.000, 0.746)
Mn (0.000, 0.000, 0.500)
Pt (0.000, 0.500, 0.127)
Pt (0.000, 0.500, 0.383)
Pt (0.000, 0.500, 0.617)
Pt (0.000, 0.500, 0.873)
Pt (0.500, 0.000, 0.127)
Pt (0.500, 0.000, 0.383)
Pt (0.500, 0.000, 0.617)
Pt (0.500, 0.000, 0.873)
Pt (0.500, 0.500, 0.000)
Pt (0.500, 0.500, 0.255)
Pt (0.500, 0.500, 0.500)
Pt (0.500, 0.500, 0.745)

Summary:
symmetry	No. 123
ΔH_f (0 K)	-891	meV/atom
uncorrected energy	-6.83	eV per atom
magnetization	4.20	μB per formula unit